1.
ErZrCdRu PBE optimized geometry; calculated formation energy = -245 meV per atom
1.0
-4.7579 -0.2090 1.1347
-3.0848 -2.5287 -2.8388
-1.9474 -4.1877 1.6247
Ru Cd Zr Er
1 1 1 1
direct
0.5000 0.5000 0.5000
0.0000 0.0000 0.0000
0.7500 0.7500 0.7500
0.2500 0.2500 0.2500

2.
Ba2TaBr PBE optimized geometry; E above lowest polymorph = 320 meV per atom
1.0
11.7071 0.0253 0.0149
11.1226 3.6531 0.0149
11.1226 1.7921 3.1834
Ba Br Ta
2 1 1
direct
0.0180 0.0180 0.0180
0.2361 0.2361 0.2361
0.4821 0.4821 0.4821
0.7638 0.7638 0.7638

3.
TaCrPt14 PBE optimized geometry; calculated formation energy = -286 meV per atom
1.0
-3.3205 -1.8060 -4.1644
-4.0535 -1.1420 3.7276
-2.8604 7.2852 -0.8786
Ta Cr Pt
1 1 14
direct
0.8750 0.8750 0.5000
0.3750 0.3750 0.5000
0.8750 0.8750 0.0000
0.3750 0.3750 0.0000
0.8750 0.3750 0.5000
0.8750 0.3750 0.0000
0.3750 0.8750 0.5000
0.3750 0.8750 0.0000
0.6242 0.1258 0.2576
0.6242 0.1258 0.7424
0.1258 0.6242 0.2576
0.1258 0.6242 0.7424
0.6241 0.6241 0.2576
0.6241 0.6241 0.7424
0.1259 0.1259 0.2576
0.1259 0.1259 0.7424